Material: NaPmTmCd
Method: DFT, PBE
State: optimized geometry

Computed properties:
**ΔE_f**: 41 meV/atom
**Energy**: -45.17 eV/cell
**D(E_F)**: 22.2 states/eV per cell

Cell: 7.6750 7.6750 7.6750 Å, 90.00 90.00 90.00°
Closest atoms and distances in Å follow each position.
Space group F-43m (No. 216)
Unique sites:
Na 0.0000 0.0000 0.0000 [4 per cell]  4 Tm 3.32, 4 Pm 3.32
Pm 0.2500 0.2500 0.7500 [4 per cell]  4 Cd 3.32, 4 Na 3.32
Tm 0.2500 0.2500 0.2500 [4 per cell]  4 Cd 3.32, 4 Na 3.32
Cd 0.0000 0.0000 0.5000 [4 per cell]  4 Pm 3.32, 4 Tm 3.32